Entry 1:
A relaxed DyErOsO6 crystal, computed with PBE.

Computed properties:
**Crystal system**: trigonal
**ΔE_f (raw)**: -2.393 eV/atom

CIF file:
```
data_DyErOsO6
_chemical_formula_sum 'Dy2 Er2 Os2 O12'
_cell_length_a 5.4538
_cell_length_b 5.4538
_cell_length_c 9.5363
_cell_angle_alpha 90.00
_cell_angle_beta 90.00
_cell_angle_gamma 120.00
_space_group_name_H-M_alt 'P -3 1 c'
_space_group_IT_number 163
_space_group_name_Hall '-P 3 2c'
loop_
_atom_site_label
_atom_site_fract_x
_atom_site_fract_y
_atom_site_fract_z
_atom_site_occupancy
Dy1 0.0000 0.0000 0.0000 1
Er1 0.3333 0.6667 0.2500 1
Os1 0.3333 0.6667 0.7500 1
O1 0.0405 0.3690 0.6350 1
```


Entry 2:
A relaxed Pr3Sm8Tm2 crystal, computed with PBE.

Computed properties:
**Relative energy among the computed polymorphs**: 0.000 eV per formula unit
**ΔH_f (0 K)**: 156 meV/atom
**Crystal system**: monoclinic

CIF file:
```
data_Pr3Sm8Tm2
_chemical_formula_sum 'Pr6 Sm16 Tm4'
_cell_length_a 13.209
_cell_length_b 11.811
_cell_length_c 6.212
_cell_angle_alpha 90.00
_cell_angle_beta 113.33
_cell_angle_gamma 90.00
_space_group_name_H-M_alt 'C 1 2/m 1'
_space_group_IT_number 12
loop_
_space_group_symop_operation_xyz
'x,y,z'
'-x,-y,-z'
'-x,y,-z'
'x,-y,z'
'x+1/2,y+1/2,z'
'-x+1/2,-y+1/2,-z'
'-x+1/2,y+1/2,-z'
'x+1/2,-y+1/2,z'
loop_
_atom_site_label
_atom_site_fract_x
_atom_site_fract_y
_atom_site_fract_z
_atom_site_occupancy
Pr1 0.000 0.000 0.000 1
Pr2 0.000 0.242 0.500 1
Sm1 0.056 0.500 0.285 1
Sm2 0.157 0.000 0.550 1
Sm3 0.175 0.256 0.175 1
Tm1 0.211 0.500 0.859 1
```


Entry 3:
A relaxed In2MoRh crystal, computed with PBE.

Computed properties:
**Relative energy among the computed polymorphs**: 0.000 eV per formula unit
**ΔH_f (0 K)**: 47 meV/atom
**Crystal system**: tetragonal

CIF file:
```
data_In2MoRh
_chemical_formula_sum 'In2 Mo1 Rh1'
_cell_length_a 2.981
_cell_length_b 2.981
_cell_length_c 8.532
_cell_angle_alpha 90.00
_cell_angle_beta 90.00
_cell_angle_gamma 90.00
_space_group_name_H-M_alt 'P 4 m m'
_space_group_IT_number 99
loop_
_space_group_symop_operation_xyz
'x,y,z'
'-y,x,z'
'-x,-y,z'
'y,-x,z'
'-x,y,z'
'y,x,z'
'x,-y,z'
'-y,-x,z'
loop_
_atom_site_label
_atom_site_fract_x
_atom_site_fract_y
_atom_site_fract_z
_atom_site_occupancy
In1 0.000 0.000 0.000 1
In2 0.500 0.500 0.327 1
Mo1 0.000 0.000 0.576 1
Rh1 0.500 0.500 0.768 1
```


Entry 4:
A relaxed Tb3PrCu4 crystal, computed with PBE.

Computed properties:
**ΔH_f (0 K)**: -203 meV/atom
**Crystal system**: tetragonal

CIF file:
```
data_Tb3PrCu4
_chemical_formula_sum 'Tb3 Pr1 Cu4'
_cell_length_a 4.985
_cell_length_b 4.985
_cell_length_c 7.007
_cell_angle_alpha 90.00
_cell_angle_beta 90.00
_cell_angle_gamma 90.00
_space_group_name_H-M_alt 'P 4/m m m'
_space_group_IT_number 123
_space_group_name_Hall '-P 4 2'
loop_
_atom_site_label
_atom_site_fract_x
_atom_site_fract_y
_atom_site_fract_z
_atom_site_occupancy
Tb1 0.000 0.000 0.000 1
Tb2 0.000 0.000 0.500 1
Tb3 0.500 0.500 0.000 1
Pr1 0.500 0.500 0.500 1
Cu1 0.000 0.500 0.238 1
```


Entry 5:
A relaxed ScCr2H crystal, computed with PBE.

Computed properties:
**Relative energy among the computed polymorphs**: 3.955 eV per formula unit
**Crystal system**: cubic

CIF file:
```
data_ScCr2H
_chemical_formula_sum 'Sc4 Cr8 H4'
_cell_length_a 6.214
_cell_length_b 6.214
_cell_length_c 6.214
_cell_angle_alpha 90.00
_cell_angle_beta 90.00
_cell_angle_gamma 90.00
_space_group_name_H-M_alt 'F m -3 m'
_space_group_IT_number 225
_space_group_name_Hall '-F 4 2 3'
loop_
_atom_site_label
_atom_site_fract_x
_atom_site_fract_y
_atom_site_fract_z
_atom_site_occupancy
Sc1 0.000 0.000 0.000 1
Cr1 0.250 0.250 0.250 1
H1 0.000 0.000 0.500 1
```


Entry 6:
A relaxed Sc3HgB crystal, computed with PBE.

Computed properties:
**Relative energy among the computed polymorphs**: 0.000 eV per formula unit
**ΔH_f (0 K)**: -291 meV/atom
**Crystal system**: cubic

CIF file:
```
data_Sc3HgB
_chemical_formula_sum 'Sc3 Hg1 B1'
_cell_length_a 4.678
_cell_length_b 4.678
_cell_length_c 4.678
_cell_angle_alpha 90.00
_cell_angle_beta 90.00
_cell_angle_gamma 90.00
_space_group_name_H-M_alt 'P m -3 m'
_space_group_IT_number 221
_space_group_name_Hall '-P 4 2 3'
loop_
_atom_site_label
_atom_site_fract_x
_atom_site_fract_y
_atom_site_fract_z
_atom_site_occupancy
Sc1 0.000 0.000 0.500 1
Hg1 0.500 0.500 0.500 1
B1 0.000 0.000 0.000 1
```


Entry 7:
A relaxed Sm4Y4Er crystal, computed with PBE.

Computed properties:
**Relative energy among the computed polymorphs**: 0.000 eV per formula unit
**ΔH_f (0 K)**: 17 meV/atom
**Crystal system**: monoclinic

CIF file:
```
data_Sm4Y4Er
_chemical_formula_sum 'Sm8 Y8 Er2'
_cell_length_a 11.335
_cell_length_b 5.082
_cell_length_c 10.771
_cell_angle_alpha 90.00
_cell_angle_beta 108.44
_cell_angle_gamma 90.00
_space_group_name_H-M_alt 'C 1 2/m 1'
_space_group_IT_number 12
loop_
_space_group_symop_operation_xyz
'x,y,z'
'-x,-y,-z'
'-x,y,-z'
'x,-y,z'
'x+1/2,y+1/2,z'
'-x+1/2,-y+1/2,-z'
'-x+1/2,y+1/2,-z'
'x+1/2,-y+1/2,z'
loop_
_atom_site_label
_atom_site_fract_x
_atom_site_fract_y
_atom_site_fract_z
_atom_site_occupancy
Sm1 0.001 0.000 0.168 1
Sm2 0.167 0.500 0.390 1
Y1 0.166 0.500 0.055 1
Y2 0.166 0.500 0.722 1
Er1 0.000 0.000 0.500 1
```


Entry 8:
A relaxed CaZnS3 crystal, computed with PBE.

Computed properties:
**Relative energy among the computed polymorphs**: 0.000 eV per formula unit
**Crystal system**: cubic
**ΔE_f (raw)**: -0.510 eV/atom

CIF file:
```
data_CaZnS3
_chemical_formula_sum 'Ca1 Zn1 S3'
_cell_length_a 4.718
_cell_length_b 4.718
_cell_length_c 4.718
_cell_angle_alpha 90.00
_cell_angle_beta 90.00
_cell_angle_gamma 90.00
_space_group_name_H-M_alt 'P m -3 m'
_space_group_IT_number 221
_space_group_name_Hall '-P 4 2 3'
loop_
_atom_site_label
_atom_site_fract_x
_atom_site_fract_y
_atom_site_fract_z
_atom_site_occupancy
Ca1 0.000 0.000 0.000 1
Zn1 0.500 0.500 0.500 1
S1 0.000 0.500 0.500 1
```


Entry 9:
A relaxed ZrPb3Cl crystal, computed with PBE.

Computed properties:
**Relative energy among the computed polymorphs**: 0.000 eV per formula unit
**Crystal system**: cubic
**ΔE_f (raw)**: 0.201 eV/atom

CIF file:
```
data_ZrPb3Cl
_chemical_formula_sum 'Zr1 Pb3 Cl1'
_cell_length_a 5.718
_cell_length_b 5.718
_cell_length_c 5.718
_cell_angle_alpha 90.00
_cell_angle_beta 90.00
_cell_angle_gamma 90.00
_space_group_name_H-M_alt 'P m -3 m'
_space_group_IT_number 221
_space_group_name_Hall '-P 4 2 3'
loop_
_atom_site_label
_atom_site_fract_x
_atom_site_fract_y
_atom_site_fract_z
_atom_site_occupancy
Zr1 0.000 0.000 0.000 1
Pb1 0.000 0.000 0.500 1
Cl1 0.500 0.500 0.500 1
```


Entry 10:
A relaxed TlTcAs2 crystal, computed with PBE.

Computed properties:
**Relative energy among the computed polymorphs**: 0.273 eV per formula unit
**ΔH_f (0 K)**: -54 meV/atom
**Crystal system**: trigonal

CIF file:
```
data_TlTcAs2
_chemical_formula_sum 'Tl3 Tc3 As6'
_cell_length_a 3.2096
_cell_length_b 3.2096
_cell_length_c 28.4866
_cell_angle_alpha 90.00
_cell_angle_beta 90.00
_cell_angle_gamma 120.00
_space_group_name_H-M_alt 'R -3 m'
_space_group_IT_number 166
_space_group_name_Hall '-R 3 2"'
loop_
_atom_site_label
_atom_site_fract_x
_atom_site_fract_y
_atom_site_fract_z
_atom_site_occupancy
Tl1 0.0000 0.0000 0.0000 1
Tc1 0.0000 0.0000 0.5000 1
As1 0.0000 0.0000 0.2281 1
```


Entry 11:
A relaxed Na3Dy2ZrS6 crystal, computed with PBE.

Computed properties:
**Crystal system**: monoclinic
**ΔE_f (raw)**: -1.699 eV/atom

CIF file:
```
data_Na3Dy2ZrS6
_chemical_formula_sum 'Na6 Dy4 Zr2 S12'
_cell_length_a 6.724
_cell_length_b 11.646
_cell_length_c 7.092
_cell_angle_alpha 90.00
_cell_angle_beta 108.47
_cell_angle_gamma 90.00
_space_group_name_H-M_alt 'C 1 2/m 1'
_space_group_IT_number 12
loop_
_space_group_symop_operation_xyz
'x,y,z'
'-x,-y,-z'
'-x,y,-z'
'x,-y,z'
'x+1/2,y+1/2,z'
'-x+1/2,-y+1/2,-z'
'-x+1/2,y+1/2,-z'
'x+1/2,-y+1/2,z'
loop_
_atom_site_label
_atom_site_fract_x
_atom_site_fract_y
_atom_site_fract_z
_atom_site_occupancy
Na1 0.000 0.000 0.000 1
Na2 0.000 0.332 0.000 1
Dy1 0.000 0.167 0.500 1
Zr1 0.000 0.500 0.500 1
S1 0.236 0.339 0.727 1
S2 0.245 0.500 0.274 1
```


Entry 12:
A relaxed CsBiPd crystal, computed with PBE.

Computed properties:
**Relative energy among the computed polymorphs**: 0.000 eV per formula unit
**ΔH_f (0 K)**: -351 meV/atom
**Crystal system**: triclinic

CIF file:
```
data_CsBiPd
_chemical_formula_sum 'Cs2 Bi2 Pd2'
_cell_length_a 5.041
_cell_length_b 5.316
_cell_length_c 8.596
_cell_angle_alpha 94.43
_cell_angle_beta 90.10
_cell_angle_gamma 90.06
_space_group_name_H-M_alt 'P -1'
_space_group_IT_number 2
loop_
_space_group_symop_operation_xyz
'x,y,z'
'-x,-y,-z'
loop_
_atom_site_label
_atom_site_fract_x
_atom_site_fract_y
_atom_site_fract_z
_atom_site_occupancy
Cs1 0.250 0.237 0.333 1
Bi1 0.250 0.326 0.895 1
Pd1 0.249 0.845 0.004 1
```


These records have E_tot values of -143.35, -118.02, -23.47, -36.68, -97.44, -27.43, -98.28, -18.21, -20.51, -66.75, -133.72, -21.96 eV/cell, in the order they appear.